No. 1
This record from the Alexandria database describes a relaxed MnCuIr2 crystal. The functional is PBE.

Lattice parameters (Å, degrees): 2.9032 4.3066 8.6968 90.00 90.00 90.00
Space group Imm2 (No. 44)
One atom of each set of equivalent atoms:
Mn: 0.0000 0.0000 0.0000 [2 per cell]
Cu: 0.0000 0.5000 0.7369 [2 per cell]
Ir: 0.0000 0.0000 0.4891 [2 per cell]
Ir: 0.0000 0.5000 0.2541 [2 per cell]

Output
For the theoretical density, the calculation gives 15.360 g cm⁻³. Its calculated formation energy is 0.4 eV per formula unit. Its total moment is 6.01 μB per cell.


No. 2
This record from the Alexandria database describes a relaxed MnCuIr2 crystal. The functional is PBE.

Lattice parameters (Å, degrees): 3.7359 3.7359 7.7405 90.00 90.00 90.00
Space group I-4m2 (No. 119)
One atom of each set of equivalent atoms:
Mn: 0.0000 0.0000 0.0000 [2 per cell]
Cu: 0.0000 0.5000 0.7500 [2 per cell]
Ir: 0.0000 0.0000 0.5000 [2 per cell]
Ir: 0.0000 0.5000 0.2500 [2 per cell]

Output
For the theoretical density, the calculation gives 15.461 g cm⁻³. Its calculated formation energy is 0.0 eV per formula unit. Its total moment is 5.03 μB per cell.


No. 3
This record from the Alexandria database describes a relaxed MnCuIr2 crystal. The functional is PBE.

Lattice parameters (Å, degrees): 6.8390 6.8390 5.1247 90.00 90.00 90.00
Space group I-42d (No. 122)
One atom of each set of equivalent atoms:
Mn: 0.0000 0.0000 0.0000 [4 per cell]
Cu: 0.0000 0.0000 0.5000 [4 per cell]
Ir: 0.2129 0.7500 0.1250 [8 per cell]

Output
For the theoretical density, the calculation gives 13.937 g cm⁻³. Its calculated formation energy is 2.1 eV per formula unit. Its total moment is 8.36 μB per cell.


No. 4
This record from the Alexandria database describes a relaxed MnCuIr2 crystal. The functional is PBE.

Lattice parameters (Å, degrees): 2.7435 4.6252 8.8748 90.00 90.00 90.00
Space group Cmm2 (No. 35)
One atom of each set of equivalent atoms:
Mn: 0.0000 0.0000 0.0000 [2 per cell]
Cu: 0.0000 0.5000 0.7607 [2 per cell]
Ir: 0.0000 0.0000 0.5087 [2 per cell]
Ir: 0.0000 0.5000 0.2411 [2 per cell]

Output
For the theoretical density, the calculation gives 14.831 g cm⁻³. Its calculated formation energy is 1.0 eV per formula unit. Its total moment is 6.46 μB per cell.


No. 5
This record from the Alexandria database describes a relaxed MnCuIr2 crystal. The functional is PBE.

Lattice parameters (Å, degrees): 2.7190 2.7190 25.7882 90.00 90.00 120.00
Space group R3m (No. 160, hexagonal axes)
One atom of each set of equivalent atoms:
Mn: 0.0000 0.0000 0.0000 [3 per cell]
Cu: 0.0000 0.0000 0.7465 [3 per cell]
Ir: 0.0000 0.0000 0.2515 [3 per cell]
Ir: 0.0000 0.0000 0.4973 [3 per cell]

Output
For the theoretical density, the calculation gives 15.174 g cm⁻³. Its calculated formation energy is 0.5 eV per formula unit. Its total moment is 8.97 μB per cell.


No. 6
This record from the Alexandria database describes a relaxed MnCu4Ir crystal. The functional is PBE.

Lattice parameters (Å, degrees): 6.7427 6.7427 6.7427 90.00 90.00 90.00
Space group F-43m (No. 216)
One atom of each set of equivalent atoms:
Mn: 0.0000 0.0000 0.0000 [4 per cell]
Cu: 0.1249 0.1249 0.6249 [16 per cell]
Ir: 0.2500 0.2500 0.2500 [4 per cell]

Output
For the theoretical density, the calculation gives 10.863 g cm⁻³. Its calculated formation energy is 0.6 eV per formula unit. Its total moment is 16.02 μB per cell.


No. 7
This record from the Alexandria database describes a relaxed MnCu3Ir crystal. The functional is PBE.

Lattice parameters (Å, degrees): 4.6256 4.6256 4.6256 90.00 90.00 90.00
Space group Pm-3m (No. 221)
One atom of each set of equivalent atoms:
Mn: 0.0000 0.0000 0.0000 [1 per cell]
Cu: 0.0000 0.5000 0.5000 [3 per cell]
Ir: 0.5000 0.5000 0.5000 [1 per cell]

Output
Its energy above the lowest structure with this stoichiometry is 0 kJ/mol of formula units. For the theoretical density, the calculation gives 7.345 g cm⁻³. Its calculated formation energy is 5.8 eV per formula unit. Its total moment is 4.78 μB per cell.


No. 8
This record from the Alexandria database describes a relaxed MnCuIr2 crystal. The functional is PBE.

Lattice parameters (Å, degrees): 2.7787 4.5330 8.9071 90.00 90.00 90.00
Space group Immm (No. 71)
One atom of each set of equivalent atoms:
Mn: 0.0000 0.0000 0.0000 [2 per cell]
Cu: 0.0000 0.0000 0.5000 [2 per cell]
Ir: 0.0000 0.5000 0.2665 [4 per cell]

Output
For the theoretical density, the calculation gives 14.887 g cm⁻³. Its calculated formation energy is 0.3 eV per formula unit. Its total moment is 6.57 μB per cell.


- What is the theoretical density in the first record?
  15.360 g cm⁻³


- Among the records above, which one has the highest total moment?
  MnCu4Ir


- Which of these has the highest theoretical density?
  number 2


- Look up the total moment of the third one.
  8.36 μB per cell